A relaxed structure of Si2BiPb2. Source: Alexandria via LeMat-Bulk, functional PBE.

Output
density: 8.7 Mg/m³
energy relative to the elements, uncorrected: 0.23 eV/atom
size of the total moment: 0.0 Bohr magnetons per cell
E_tot: -4.20 eV per atom
V: 130.2 Å³ per cell

Unit cell a=3.533 b=3.533 c=10.730 alpha=80.53 beta=80.53 gamma=90.00
Fractional coordinates of all 5 atoms:
1 Si 0.750 0.250 0.500
2 Si 0.250 0.750 0.500
3 Bi 0.000 0.000 0.000
4 Pb 0.623 0.623 0.754
5 Pb 0.377 0.377 0.246